# 1
MnBiB3 | GGA-PBE | optimized geometry

abc: 4.006 4.006 4.006
angles: 90.00 90.00 90.00
Element x y z (fractional)
B  0.500  0.000  0.000
Mn  0.000  0.000  0.000
Bi  0.500  0.500  0.500
B  0.000  0.500  0.000
B  0.000  0.000  0.500

Energy above the most stable polymorph in this dataset in meV/atom: 0
Space-group type: No. 221

=====

# 2
MnBiB3 | GGA-PBE | optimized geometry

abc: 4.609 4.609 4.609
angles: 90.00 90.00 90.00
Element x y z (fractional)
Bi  0.000  0.000  0.000
Mn  0.500  0.500  0.500
B  0.500  0.000  0.000
B  0.000  0.000  0.500
B  0.000  0.500  0.000

Energy above the most stable polymorph in this dataset in meV/atom: 2069
Space-group type: No. 221